Sm2CoF: relaxed, PBE+U. Values from VASP.

Structure (Quantum ESPRESSO input):
```
&SYSTEM
  ibrav = 0, nat = 4, ntyp = 3
/
ATOMIC_SPECIES
Sm 150.36 Sm.upf
Co 58.93 Co.upf
F 19.00 F.upf
ATOMIC_POSITIONS crystal
Sm 0.0971 0.0971 0.0971
Sm 0.9029 0.9029 0.9029
Co 0.0000 0.0000 0.0000
F 0.5000 0.5000 0.5000
CELL_PARAMETERS angstrom
1.6316 0.9420 9.2851
-1.6316 0.9420 9.2851
0.0000 -1.8840 9.2851
```

- calculated total energy (eV/cell) = -18.5
- spin magnetization (μB per formula unit) = 1.2
- DOS at the Fermi energy (states/eV/cell) = 2.54